# 1
Entry from Alexandria: a relaxed structure of Ba8AlSn2 (PBE).

The value obtained for the volume is 1016.6 Å³ per cell. The calculation puts the raw total energy at -2.776 eV per atom. The value obtained for the total magnetization is 0.02 μB per cell. The calculation puts the formation energy at -0.31 eV/atom.

The space group is C2/m (No. 12) and the conventional cell measures 21.671, 5.973 and 8.179 Å, with angles of 90.00, 106.20 and 90.00 degrees. The asymmetric unit holds Ba at (0.029, 0.000, 0.293), Ba at (0.094, 0.500, 0.939), Ba at (0.160, 0.500, 0.453), Ba at (0.207, 0.000, 0.802), Al at (0.000, 0.500, 0.500) and Sn at (0.189, 0.000, 0.215).

# 2
Entry from Alexandria: a relaxed structure of Ba2TlReRh (PBE).

The value obtained for the volume is 178.6 Å³ per cell. The calculation puts the raw total energy at -4.656 eV per atom. The value obtained for the total magnetization is 1.48 μB per cell. The calculation puts the formation energy at 0.55 eV/atom.

The space group is P4/mmm (No. 123) and the conventional cell measures 6.147, 6.147 and 4.726 Å, with angles of 90.00, 90.00 and 90.00 degrees. The asymmetric unit holds Ba at (0.000, 0.500, 0.000), Tl at (0.000, 0.000, 0.500), Re at (0.500, 0.500, 0.500) and Rh at (0.500, 0.500, 0.000).

# 3
Entry from Alexandria: a relaxed structure of CdRuBr2 (PBE).

The value obtained for the volume is 205.0 Å³ per cell. The calculation puts the raw total energy at -2.852 eV per atom. The value obtained for the total magnetization is 4.02 μB per cell. The offset from the most stable computed form comes out at 564 meV/atom.

The space group is C2/m (No. 12) and the conventional cell measures 6.850, 7.762 and 5.139 Å, with angles of 90.00, 131.39 and 90.00 degrees. The asymmetric unit holds Cd at (0.000, 0.000, 0.000), Ru at (0.000, 0.500, 0.000) and Br at (0.250, 0.250, 0.500).